(1)
The following is a PBE calculation of ReRuCl2 after structural relaxation, from Alexandria.

```
ReRuCl2
1.0
4.346 0.000 0.000
0.000 4.346 0.000
0.000 0.000 3.093
Re Cl Ru
1 2 1
Cartesian
2.173 0.000 1.547
0.000 0.000 0.000
2.173 2.173 0.000
0.000 2.173 1.547
```

- ΔE_f (raw) (eV per atom) = 1.365
- calculated volume (Å³ per cell) = 58
- SG = No. 123
- calculated density (g/cm³) = 10.18

(2)
The following is a PBE calculation of ReRuCl2 after structural relaxation, from Alexandria.

```
ReRuCl2
1.0
0.000 3.073 3.073
3.073 0.000 3.073
3.073 3.073 0.000
Ru Cl Re
1 2 1
Cartesian
0.000 0.000 0.000
4.610 4.610 4.610
1.537 1.537 1.537
3.073 3.073 3.073
```

- ΔE_f (raw) (eV per atom) = 1.341
- calculated volume (Å³ per cell) = 58
- SG = No. 225
- calculated density (g/cm³) = 10.25

(3)
The following is a PBE calculation of ReRuCl3 after structural relaxation, from Alexandria.

```
ReRuCl3
1.0
4.845 0.000 0.000
0.000 4.845 0.000
0.000 0.000 4.845
Ru Cl Re
1 3 1
Cartesian
0.000 0.000 0.000
0.000 0.000 2.423
2.423 0.000 0.000
0.000 2.423 0.000
2.423 2.423 2.423
```

- ΔE_f (raw) (eV per atom) = 1.056
- calculated volume (Å³ per cell) = 114
- SG = No. 221
- calculated density (g/cm³) = 5.75

(4)
The following is a PBE calculation of Re2RuCl after structural relaxation, from Alexandria.

```
Re2RuCl
1.0
4.578 0.000 0.000
0.000 4.578 0.000
0.000 0.000 2.812
Re Cl Ru
2 1 1
Cartesian
2.289 2.289 0.000
0.000 0.000 0.000
0.000 2.289 1.406
2.289 0.000 1.406
```

- ΔE_f (raw) (eV per atom) = 1.035
- calculated volume (Å³ per cell) = 59
- SG = No. 123
- calculated density (g/cm³) = 14.34

Which of these has the highest calculated density?
Re2RuCl

calculated volume of number 2 (ReRuCl2)?
58 Å³ per cell

What did the third record say?
The following is a PBE calculation of ReRuCl3 after structural relaxation, from Alexandria.

```
ReRuCl3
1.0
4.845 0.000 0.000
0.000 4.845 0.000
0.000 0.000 4.845
Ru Cl Re
1 3 1
Cartesian
0.000 0.000 0.000
0.000 0.000 2.423
2.423 0.000 0.000
0.000 2.423 0.000
2.423 2.423 2.423
```

- ΔE_f (raw) (eV per atom) = 1.056
- calculated volume (Å³ per cell) = 114
- SG = No. 221
- calculated density (g/cm³) = 5.75